No. 1
7
Lattice="3.780 0.000 0.000 0.017 6.771 0.000 1.664 0.339 7.016" Properties=species:S:1:pos:R:3 comment="La2Nd2Co3, relaxed, DFT PBE" m_tot_mub_per_fu=0.42 delta_e_f_mev_per_atom=3 n_ef_per_ev_atom=0.90 space_group=P-1 dft_energy_ev_per_cell=-40.69 pbc="T T T"
La 0.899 1.188 1.537
La 4.562 5.922 5.478
Nd 2.566 2.448 4.894
Nd 2.895 4.662 2.122
Co 0.961 4.040 0.101
Co 2.722 0.169 3.508
Co 4.500 3.070 6.915


No. 2
4
Lattice="3.555 0.000 0.000 0.000 3.555 0.000 0.000 0.000 9.309" Properties=species:S:1:pos:R:3 comment="La2NdCo, relaxed, DFT PBE" m_tot_mub_per_fu=0.01 delta_e_f_mev_per_atom=46 n_ef_per_ev_atom=1.51 space_group=P4/mmm dft_energy_ev_per_cell=-21.54 pbc="T T T"
La 0.000 0.000 1.630
La 0.000 0.000 7.679
Nd 1.777 1.777 4.654
Co 1.777 1.777 0.000


No. 3
12
Lattice="4.619 -8.916 0.000 4.619 8.916 0.000 -4.534 0.000 4.947" Properties=species:S:1:pos:R:3 comment="La4NdCo, relaxed, DFT PBE" m_tot_mub_per_fu=0.00 delta_e_f_mev_per_atom=15 n_ef_per_ev_atom=1.40 space_group=C2/c dft_energy_ev_per_cell=-62.98 pbc="T T T"
La -0.399 2.816 2.919
La 1.637 1.088 0.585
La -0.630 -1.088 3.058
La 1.868 -2.816 0.446
La 2.836 2.816 4.502
La 5.334 1.088 1.889
La 3.067 -1.088 4.363
La 5.103 -2.816 2.028
Nd 3.486 4.244 1.237
Nd 1.218 -4.244 3.711
Co 1.218 7.983 3.711
Co 3.486 -7.983 1.237


No. 4
11
Lattice="6.407 -4.161 0.000 6.407 4.161 0.000 -2.420 0.000 6.706" Properties=species:S:1:pos:R:3 comment="LaNd8Co2, relaxed, DFT PBE" m_tot_mub_per_fu=0.00 delta_e_f_mev_per_atom=101 n_ef_per_ev_atom=1.10 space_group=C2/m dft_energy_ev_per_cell=-56.17 pbc="T T T"
La 0.000 0.000 0.000
Nd -0.027 0.000 4.647
Nd 3.217 1.644 4.631
Nd 3.874 0.000 1.249
Nd 7.176 1.644 2.075
Nd 3.217 -1.644 4.631
Nd 6.519 0.000 5.457
Nd 7.176 -1.644 2.075
Nd 10.421 0.000 2.058
Co 1.630 0.000 2.677
Co 8.764 0.000 4.028


What did the first record say?
7
Lattice="3.780 0.000 0.000 0.017 6.771 0.000 1.664 0.339 7.016" Properties=species:S:1:pos:R:3 comment="La2Nd2Co3, relaxed, DFT PBE" m_tot_mub_per_fu=0.42 delta_e_f_mev_per_atom=3 n_ef_per_ev_atom=0.90 space_group=P-1 dft_energy_ev_per_cell=-40.69 pbc="T T T"
La 0.899 1.188 1.537
La 4.562 5.922 5.478
Nd 2.566 2.448 4.894
Nd 2.895 4.662 2.122
Co 0.961 4.040 0.101
Co 2.722 0.169 3.508
Co 4.500 3.070 6.915


Which formula does entry 3 have?
La4NdCo